1.
The following is a PBE calculation of an optimized crystal structure of LuScBi, from the Open Quantum Materials Database.

Summary:
Symmetry: No. 216
Crystal system: cubic
Magnetic moment in μB per atom: 0.003
Volume in Å³/atom: 30.68

a b c (Å): 5.0679 5.0679 5.0679
angles (deg): 60.00 60.00 60.00
With the nearest neighbours (Å) after each atom.
Fractional coordinates of all 3 atoms:
Lu1 0.7500 0.7500 0.7500  4 Sc 3.10
Sc1 0.0000 0.0000 0.0000  4 Bi 3.10, 4 Lu 3.10
Bi1 0.2500 0.2500 0.2500  4 Sc 3.10

---

2.
The following is a PBE calculation of an optimized crystal structure of CuH2, from the Open Quantum Materials Database.

Summary:
Symmetry: No. 227
Crystal system: cubic
Volume in Å³/atom: 15.41

a b c (Å): 5.0756 5.0756 5.0756
angles (deg): 60.00 60.00 60.00
With the nearest neighbours (Å) after each atom.
Fractional coordinates of all 6 atoms:
H1 0.3750 0.8750 0.3750  2 Cu 1.55
H2 0.3750 0.3750 0.8750  2 Cu 1.55
H3 0.3750 0.3750 0.3750  2 Cu 1.55
Cu1 0.2500 0.2500 0.2500  4 H 1.55
Cu2 0.5000 0.5000 0.5000  4 H 1.55
H4 0.8750 0.3750 0.3750  2 Cu 1.55

---

3.
The following is a PBE calculation of an optimized crystal structure of GdTlNO, from the Open Quantum Materials Database.

Summary:
Symmetry: No. 26
E above lowest polymorph in eV/atom: 0.030
Crystal system: orthorhombic
Magnetic moment in μB per atom: 0.000
Volume in Å³/atom: 19.39

a b c (Å): 3.9222 6.0122 6.5796
angles (deg): 90.00 90.00 90.00
With the nearest neighbours (Å) after each atom.
Fractional coordinates of all 8 atoms:
O1 0.5000 0.9032 0.8097  2 Gd 2.22
Tl1 0.5000 0.9831 0.1827  2 N 2.35, 2 O 2.50-2.53
N1 0.0000 0.3726 0.6487  2 Gd 2.27-2.28, 2 Tl 2.35
Tl2 0.5000 0.4831 0.8173  2 N 2.35, 2 O 2.50-2.53
Gd1 0.0000 0.9950 0.6769  2 O 2.22, 2 N 2.27-2.28
O2 0.5000 0.4032 0.1903  2 Gd 2.22
Gd2 0.0000 0.4950 0.3231  2 O 2.22, 2 N 2.27-2.28
N2 0.0000 0.8726 0.3513  2 Gd 2.27-2.28, 2 Tl 2.35

---

4.
The following is a PBE calculation of an optimized crystal structure of UBeCd, from the Open Quantum Materials Database.

Summary:
Symmetry: No. 216
Crystal system: cubic
Magnetic moment in μB per atom: 1.108
Volume in Å³/atom: 25.51

a b c (Å): 4.7654 4.7654 4.7654
angles (deg): 60.00 60.00 60.00
With the nearest neighbours (Å) after each atom.
Fractional coordinates of all 3 atoms:
U1 0.0000 0.0000 0.0000  4 Cd 2.92, 4 Be 2.92
Cd1 0.7500 0.7500 0.7500  4 U 2.92
Be1 0.2500 0.2500 0.2500  4 U 2.92

---

5.
The following is a PBE calculation of an optimized crystal structure of TbNdMo2C3, from the Open Quantum Materials Database.

Summary:
Symmetry: No. 8
Crystal system: monoclinic
Magnetic moment in μB per atom: 0.001
Volume in Å³/atom: 15.59

a b c (Å): 5.9476 5.9476 5.8045
angles (deg): 105.76 105.76 33.65
With the nearest neighbours (Å) after each atom.
Fractional coordinates of all 7 atoms:
Mo1 0.1521 0.1521 0.8817  4 C 2.04-2.11
C1 0.0020 0.0020 0.0085  2 Mo 2.03-2.04
Tb1 0.6128 0.6128 0.3214  5 C 2.52-2.65
C2 0.2718 0.2718 0.2328  3 Mo 2.11-2.12
C3 0.7236 0.7236 0.7632  3 Mo 2.10-2.15
Nd1 0.3897 0.3897 0.6735  5 C 2.53-2.71
Mo2 0.8480 0.8480 0.1188  4 C 2.03-2.15

---

6.
The following is a PBE calculation of an optimized crystal structure of YEr2Fe6Co2Ni, from the Open Quantum Materials Database.

Summary:
Symmetry: No. 166
Crystal system: trigonal
Magnetic moment in μB per atom: 1.305
Volume in Å³/atom: 14.77
Formation enthalpy at 0 K in eV per atom: -0.1361

a b c (Å): 8.6409 8.6409 8.6409
angles (deg): 33.72 33.72 33.72
With the nearest neighbours (Å) after each atom.
Fractional coordinates of all 12 atoms:
Co1 0.3329 0.3329 0.3329  6 Fe 2.45-2.48
Fe1 0.9205 0.4173 0.4173  2 Co 2.45-2.48, 4 Fe 2.49-2.52, 1 Ni 2.54
Fe2 0.4173 0.4173 0.9205  2 Co 2.45-2.48, 4 Fe 2.49-2.52, 1 Ni 2.54
Er1 0.8579 0.8579 0.8579  9 Fe 2.91-3.04, 3 Ni 2.96, 3 Er 3.13
Ni1 0.5000 0.5000 0.5000  6 Fe 2.54
Y1 0.0000 0.0000 0.0000  6 Co 2.89, 12 Fe 3.20
Er2 0.1421 0.1421 0.1421  9 Fe 2.91-3.04, 3 Ni 2.96, 3 Er 3.13
Fe3 0.0795 0.5827 0.5827  2 Co 2.45-2.48, 4 Fe 2.49-2.52, 1 Ni 2.54
Fe4 0.5827 0.5827 0.0795  2 Co 2.45-2.48, 4 Fe 2.49-2.52, 1 Ni 2.54
Co2 0.6671 0.6671 0.6671  6 Fe 2.45-2.48
Fe5 0.5827 0.0795 0.5827  2 Co 2.45-2.48, 4 Fe 2.49-2.52, 1 Ni 2.54
Fe6 0.4173 0.9205 0.4173  2 Co 2.45-2.48, 4 Fe 2.49-2.52, 1 Ni 2.54

---

7.
The following is a PBE calculation of an optimized crystal structure of TmSbN2O, from the Open Quantum Materials Database.

Summary:
Symmetry: No. 185
Crystal system: hexagonal
Magnetic moment in μB per atom: 0.000
Volume in Å³/atom: 14.13

a b c (Å): 6.4142 6.4142 11.8963
angles (deg): 90.00 90.00 120.00
With the nearest neighbours (Å) after each atom.
Fractional coordinates of all 30 atoms:
Sb1 0.3335 0.3335 0.5008  2 N 1.93-1.94, 3 O 2.16
Sb2 0.0000 0.6665 0.5008  2 N 1.93-1.94, 3 O 2.16
Tm1 0.0000 0.0000 0.2657  6 N 2.33-2.45, 1 O 2.46
O1 0.6667 0.3333 0.0244  3 Sb 2.16
O2 0.0000 0.0000 0.9727  3 Sb 2.16
N1 0.6891 0.6891 0.1637  1 Sb 1.94
O3 0.3333 0.6667 0.0244  3 Sb 2.16
Tm2 0.6667 0.3333 0.2382  6 N 2.38-2.39, 1 O 2.54
N2 0.6891 0.0000 0.6637  1 Sb 1.94
N3 0.0000 0.3578 0.8388  1 Sb 1.93
O4 0.3333 0.6667 0.5244  3 Sb 2.16
Tm3 0.6667 0.3333 0.7382  6 N 2.38-2.39, 1 O 2.54
Sb3 0.3335 0.0000 0.0008  2 N 1.93-1.94, 3 O 2.16
N4 0.3109 0.0000 0.1637  1 Sb 1.94
Sb4 0.6665 0.0000 0.5008  2 N 1.93-1.94, 3 O 2.16
N5 0.3109 0.3110 0.6637  1 Sb 1.94
O5 0.0000 0.0000 0.4727  3 Sb 2.16
N6 0.0000 0.6891 0.6637  1 Sb 1.94
Tm4 0.0000 0.0000 0.7657  6 N 2.33-2.45, 1 O 2.46
Sb5 0.0000 0.3335 0.0008  2 N 1.93-1.94, 3 O 2.16
N7 0.3578 0.3578 0.3388  1 Sb 1.93
N8 0.3578 0.0000 0.8388  1 Sb 1.93
O6 0.6667 0.3333 0.5244  3 Sb 2.16
Tm5 0.3333 0.6667 0.7382  6 N 2.38-2.39, 1 O 2.54
N9 0.0000 0.6422 0.3388  1 Sb 1.93
N10 0.6422 0.6422 0.8388  1 Sb 1.93
N11 0.0000 0.3110 0.1637  1 Sb 1.94
N12 0.6422 0.0000 0.3388  1 Sb 1.93
Sb6 0.6665 0.6665 0.0008  2 N 1.93-1.94, 3 O 2.16
Tm6 0.3333 0.6667 0.2382  6 N 2.38-2.39, 1 O 2.54

---

8.
The following is a PBE calculation of an optimized crystal structure of Li4BiSbAu2, from the Open Quantum Materials Database.

Summary:
Symmetry: No. 115
Crystal system: tetragonal
Volume in Å³/atom: 18.51

a b c (Å): 4.7071 4.7071 6.6847
angles (deg): 90.00 90.00 90.00
With the nearest neighbours (Å) after each atom.
Fractional coordinates of all 8 atoms:
Au1 0.0000 0.5000 0.2653  4 Li 2.83-2.95, 2 Sb 2.83, 2 Bi 2.95
Bi1 0.0000 0.0000 0.0000  4 Li 2.91, 4 Au 2.95
Li1 0.5000 0.0000 0.2570  4 Li 2.86-2.91, 2 Sb 2.86, 2 Bi 2.91, 1 Au 3.19
Li2 0.5000 0.5000 0.0000  4 Li 2.91, 4 Au 2.95
Sb1 0.5000 0.5000 0.5000  4 Au 2.83, 4 Li 2.86
Li3 0.0000 0.5000 0.7430  4 Li 2.86-2.91, 2 Sb 2.86, 2 Bi 2.91, 1 Au 3.19
Li4 0.0000 0.0000 0.5000  4 Au 2.83, 4 Li 2.86
Au2 0.5000 0.0000 0.7347  4 Li 2.83-2.95, 2 Sb 2.83, 2 Bi 2.95

---

9.
The following is a PBE calculation of an optimized crystal structure of Nb4InGaB2, from the Open Quantum Materials Database.

Summary:
Symmetry: No. 187
Crystal system: hexagonal
Magnetic moment in μB per atom: 0.000
Volume in Å³/atom: 16.01

a b c (Å): 3.2289 3.2289 14.1843
angles (deg): 90.00 90.00 120.00
With the nearest neighbours (Å) after each atom.
Fractional coordinates of all 8 atoms:
B1 0.3333 0.6667 0.2413  6 Nb 2.24-2.25
In1 0.6667 0.3333 0.5000  6 Nb 3.06, 6 In 3.23
Ga1 0.0000 0.0000 0.0000  6 Nb 2.86
Nb1 0.6667 0.3333 0.1525  3 B 2.25
Nb2 0.0000 0.0000 0.3293  3 B 2.24
B2 0.3333 0.6667 0.7587  6 Nb 2.24-2.25
Nb3 0.6667 0.3333 0.8475  3 B 2.25
Nb4 0.0000 0.0000 0.6707  3 B 2.24

---

10.
The following is a PBE calculation of an optimized crystal structure of Ba2SbAu, from the Open Quantum Materials Database.

Summary:
Symmetry: No. 74
Crystal system: orthorhombic
Volume in Å³/atom: 35.37

a b c (Å): 8.1324 8.4518 8.2340
angles (deg): 90.00 90.00 90.00
With the nearest neighbours (Å) after each atom.
Fractional coordinates of all 16 atoms:
Sb1 0.9928 0.2500 0.0000  8 Ba 3.57-3.60, 1 Au 3.96
Au1 0.5053 0.2500 0.0000  8 Ba 3.58-3.59, 1 Sb 3.96
Au2 0.9947 0.2500 0.5000  8 Ba 3.58-3.59, 1 Sb 3.96
Ba1 0.2502 0.4962 0.2499  4 Sb 3.57-3.60, 4 Au 3.58-3.59
Ba2 0.2498 0.4962 0.7499  4 Sb 3.57-3.60, 4 Au 3.58-3.59
Ba3 0.7502 0.9962 0.2501  4 Sb 3.57-3.60, 4 Au 3.58-3.59
Sb2 0.4928 0.7500 0.4998  8 Ba 3.57-3.60, 1 Au 3.96
Ba4 0.7498 0.9962 0.7501  4 Sb 3.57-3.60, 4 Au 3.58-3.59
Ba5 0.7498 0.5038 0.7501  4 Sb 3.57-3.60, 4 Au 3.58-3.59
Sb3 0.0072 0.7500 0.0000  8 Ba 3.57-3.60, 1 Au 3.96
Ba6 0.2498 0.0038 0.7499  4 Sb 3.57-3.60, 4 Au 3.58-3.59
Sb4 0.5072 0.2500 0.5002  8 Ba 3.57-3.60, 1 Au 3.96
Au3 0.4947 0.7500 0.0000  8 Ba 3.58-3.59, 1 Sb 3.96
Ba7 0.2502 0.0038 0.2499  4 Sb 3.57-3.60, 4 Au 3.58-3.59
Au4 0.0053 0.7500 0.5000  8 Ba 3.58-3.59, 1 Sb 3.96
Ba8 0.7502 0.5038 0.2501  4 Sb 3.57-3.60, 4 Au 3.58-3.59

---

11.
The following is a PBE calculation of an optimized crystal structure of Dy4Ag2Bi, from the Open Quantum Materials Database.

Summary:
Symmetry: No. 111
Crystal system: tetragonal
Magnetic moment in μB per atom: 0.017
Volume in Å³/atom: 26.44

a b c (Å): 6.6930 6.6930 4.1315
angles (deg): 90.00 90.00 90.00
With the nearest neighbours (Å) after each atom.
Fractional coordinates of all 7 atoms:
Ag1 0.5000 0.0000 0.0000  8 Dy 3.13-3.15, 2 Bi 3.35
Bi1 0.0000 0.0000 0.0000  8 Dy 3.18-3.20, 4 Ag 3.35
Dy1 0.7432 0.7432 0.4970  4 Ag 3.13-3.15, 2 Bi 3.18-3.20, 4 Dy 3.26-3.44
Dy2 0.2568 0.7432 0.5030  4 Ag 3.13-3.15, 2 Bi 3.18-3.20, 4 Dy 3.26-3.44
Ag2 0.0000 0.5000 0.0000  8 Dy 3.13-3.15, 2 Bi 3.35
Dy3 0.2568 0.2568 0.4970  4 Ag 3.13-3.15, 2 Bi 3.18-3.20, 4 Dy 3.26-3.44
Dy4 0.7432 0.2568 0.5030  4 Ag 3.13-3.15, 2 Bi 3.18-3.20, 4 Dy 3.26-3.44

---

12.
The following is a PBE calculation of an optimized crystal structure of CsMgNiBi, from the Open Quantum Materials Database.

Summary:
Symmetry: No. 216
E above lowest polymorph in eV/atom: 0.000
Crystal system: cubic
Magnetic moment in μB per atom: 0.009
Volume in Å³/atom: 26.43

a b c (Å): 5.3076 5.3076 5.3076
angles (deg): 60.00 60.00 60.00
With the nearest neighbours (Å) after each atom.
Fractional coordinates of all 4 atoms:
Bi1 0.5000 0.5000 0.5000  4 Mg 3.25, 4 Ni 3.25
Cs1 0.0000 0.0000 0.0000  4 Mg 3.25, 4 Ni 3.25
Mg1 0.7500 0.7500 0.7500  4 Cs 3.25, 4 Bi 3.25
Ni1 0.2500 0.2500 0.2500  4 Bi 3.25, 4 Cs 3.25

---

Q: Which total energy values were calculated for the entries above? A: -14.504 -17.032 -49.225 -11.814 -60.485 -86.858 -206.526 -26.277 -62.996 -58.560 -28.902 -10.106, in eV/cell.